# NdSm2Dy5Er, optimized geometry, DFT GGA-PBE
# energy relative to the elements: 0.276 eV per atom
data_NdSm2Dy5Er
_chemical_formula_sum 'Nd4 Sm8 Dy20 Er4'
_symmetry_space_group_name_H-M 'I 4/m c m'
_symmetry_Int_Tables_number 140
_symmetry_space_group_name_Hall '-I 4 2c'
_cell_length_a 8.7661
_cell_length_b 8.7661
_cell_length_c 15.3110
_cell_angle_alpha 90.00
_cell_angle_beta 90.00
_cell_angle_gamma 90.00
loop_
_atom_site_label
_atom_site_type_symbol
_atom_site_fract_x
_atom_site_fract_y
_atom_site_fract_z
_atom_site_occupancy
Nd1 Nd 0.0000 0.0000 0.2500 1
Sm1 Sm 0.1158 0.3842 0.0000 1
Dy1 Dy 0.0000 0.0000 0.0000 1
Dy2 Dy 0.2088 0.2912 0.3635 1
Er1 Er 0.0000 0.5000 0.2500 1

# MgNi3H, optimized geometry, DFT GGA-PBE
# relative energy among the computed polymorphs: 1920 meV/atom
data_MgNi3H
_chemical_formula_sum 'Mg1 Ni3 H1'
_symmetry_space_group_name_H-M 'P m -3 m'
_symmetry_Int_Tables_number 221
_symmetry_space_group_name_Hall '-P 4 2 3'
_cell_length_a 4.4324
_cell_length_b 4.4324
_cell_length_c 4.4324
_cell_angle_alpha 90.00
_cell_angle_beta 90.00
_cell_angle_gamma 90.00
loop_
_atom_site_label
_atom_site_type_symbol
_atom_site_fract_x
_atom_site_fract_y
_atom_site_fract_z
_atom_site_occupancy
Mg1 Mg 0.0000 0.0000 0.0000 1
Ni1 Ni 0.0000 0.0000 0.5000 1
H1 H 0.5000 0.5000 0.5000 1